Record 1
Material: La2AgHgRu
Method: DFT, PBE
State: relaxed

Cell: 8.360 4.036 8.413 Å, 90.00 112.81 90.00°
Atoms (fractional coordinates):
La1 0.001 0.250 0.295
La2 0.343 0.250 0.126
La3 0.657 0.750 0.874
La4 0.999 0.750 0.705
Ag1 0.359 0.750 0.446
Ag2 0.641 0.250 0.554
Hg1 0.320 0.250 0.700
Hg2 0.680 0.750 0.300
Ru1 0.084 0.750 0.103
Ru2 0.916 0.250 0.897

Properties
The formation energy comes out at -0.32 eV/atom. The calculation puts the spin magnetization at 0.0 μB per cell. As for the crystal system: monoclinic. The calculation puts the energy at -4.779 eV/atom.


Record 2
Material: HgPtSe2
Method: DFT, PBE
State: relaxed

Cell: 4.959 3.847 19.361 Å, 90.00 90.00 90.00°
Atoms (fractional coordinates):
Hg1 0.213 0.250 0.146
Hg2 0.287 0.750 0.646
Hg3 0.713 0.250 0.354
Hg4 0.787 0.750 0.854
Pt1 0.036 0.750 0.416
Pt2 0.464 0.250 0.916
Pt3 0.536 0.750 0.084
Pt4 0.964 0.250 0.584
Se1 0.147 0.250 0.816
Se2 0.238 0.750 0.980
Se3 0.262 0.250 0.480
Se4 0.353 0.750 0.316
Se5 0.647 0.250 0.684
Se6 0.738 0.750 0.520
Se7 0.762 0.250 0.020
Se8 0.853 0.750 0.184

Properties
The calculation puts the spin magnetization at 0.0 μB per cell. The value obtained for the uncorrected formation energy is -164 meV/atom. As for the crystal system: orthorhombic. The calculation puts the energy at -3.491 eV/atom.


Record 3
Material: Rb3La2NdS6
Method: DFT, PBE
State: relaxed

Cell: 7.433 7.433 8.088 Å, 98.81 98.81 120.00°
Atoms (fractional coordinates):
Rb1 0.000 0.000 0.000
Rb2 0.333 0.667 0.000
Rb3 0.667 0.333 0.000
La1 0.167 0.833 0.500
La2 0.833 0.167 0.500
Nd1 0.500 0.500 0.500
S1 0.105 0.434 0.303
S2 0.236 0.236 0.697
S3 0.434 0.105 0.303
S4 0.566 0.895 0.697
S5 0.764 0.764 0.303
S6 0.895 0.566 0.697

Properties
The calculation puts the spin magnetization at 0.0 μB per cell. The value obtained for the uncorrected formation energy is -1874 meV/atom. As for the crystal system: monoclinic. The calculation puts the energy at -5.398 eV/atom.


Record 4
Material: CaAl9Co2
Method: DFT, PBE
State: relaxed

Cell: 8.261 8.261 8.261 Å, 99.65 99.65 131.67°
Atoms (fractional coordinates):
Ca1 0.375 0.625 0.750
Ca2 0.625 0.375 0.250
Al1 0.125 0.875 0.250
Al2 0.136 0.567 0.324
Al3 0.136 0.812 0.569
Al4 0.188 0.257 0.324
Al5 0.188 0.864 0.931
Al6 0.257 0.188 0.824
Al7 0.257 0.433 0.069
Al8 0.433 0.257 0.569
Al9 0.433 0.864 0.176
Al10 0.567 0.136 0.824
Al11 0.567 0.743 0.431
Al12 0.743 0.567 0.931
Al13 0.743 0.812 0.176
Al14 0.812 0.136 0.069
Al15 0.812 0.743 0.676
Al16 0.864 0.188 0.431
Al17 0.864 0.433 0.676
Al18 0.875 0.125 0.750
Co1 0.000 0.000 0.000
Co2 0.000 0.000 0.500
Co3 0.000 0.500 0.000
Co4 0.500 0.000 0.500

Properties
The formation energy comes out at -0.32 eV/atom. The calculation puts the spin magnetization at 0.0 μB per cell. As for the crystal system: tetragonal. The calculation puts the energy at -4.483 eV/atom.


Record 5
Material: Nd4TlTeSe2
Method: DFT, PBE
State: relaxed

Cell: 7.625 4.288 7.651 Å, 90.00 108.43 90.00°
Atoms (fractional coordinates):
Nd1 0.238 0.000 0.232
Nd2 0.256 0.500 0.767
Nd3 0.744 0.500 0.233
Nd4 0.762 0.000 0.768
Tl1 0.000 0.000 0.500
Te1 0.500 0.500 0.500
Se1 0.000 0.500 0.000
Se2 0.500 0.000 0.000

Properties
The calculation puts the spin magnetization at 0.0 μB per cell. The value obtained for the uncorrected formation energy is -1363 meV/atom. As for the crystal system: monoclinic. The calculation puts the energy at -5.306 eV/atom.


Record 6
Material: MnCrCl2
Method: DFT, PBE
State: relaxed

Cell: 3.447 6.036 4.495 Å, 90.00 112.51 90.00°
Atoms (fractional coordinates):
Mn1 0.000 0.000 0.000
Cr1 0.546 0.500 0.094
Cl1 0.283 0.000 0.565
Cl2 0.835 0.500 0.670

Properties
The calculation puts the spin magnetization at 8.8 μB per cell. The value obtained for the uncorrected formation energy is -7 meV/atom. As for the crystal system: monoclinic. The calculation puts the energy at -5.629 eV/atom.


Record 7
Material: CsYMnS4
Method: DFT, PBE
State: relaxed

Cell: 6.612 6.491 9.434 Å, 90.00 107.73 90.00°
Atoms (fractional coordinates):
Cs1 0.235 0.250 0.440
Cs2 0.765 0.750 0.560
Y1 0.268 0.250 0.952
Y2 0.732 0.750 0.048
Mn1 0.277 0.750 0.162
Mn2 0.723 0.250 0.838
S1 0.067 0.750 0.301
S2 0.075 0.750 0.936
S3 0.492 0.000 0.808
S4 0.492 0.500 0.808
S5 0.508 0.000 0.192
S6 0.508 0.500 0.192
S7 0.925 0.250 0.064
S8 0.933 0.250 0.699

Properties
The calculation puts the spin magnetization at 6.0 μB per cell. The value obtained for the uncorrected formation energy is -1215 meV/atom. As for the crystal system: monoclinic. The calculation puts the energy at -5.929 eV/atom.


Record 8
Material: TbHoPb2
Method: DFT, PBE
State: relaxed

Cell: 4.502 4.450 6.253 Å, 90.00 111.02 90.00°
Atoms (fractional coordinates):
Tb1 0.000 0.000 0.000
Ho1 0.744 0.500 0.482
Pb1 0.273 0.000 0.539
Pb2 0.472 0.500 0.944

Properties
The formation energy comes out at -0.48 eV/atom. The calculation puts the spin magnetization at 0.0 μB per cell. As for the crystal system: monoclinic. The calculation puts the energy at -4.633 eV/atom.


Record 9
Material: KAgRhF2
Method: DFT, PBE
State: relaxed

Cell: 4.607 4.607 5.087 Å, 90.00 90.00 90.00°
Atoms (fractional coordinates):
K1 0.000 0.000 0.000
Ag1 0.500 0.500 0.500
Rh1 0.500 0.500 0.000
F1 0.000 0.500 0.500
F2 0.500 0.000 0.500

Properties
The calculation puts the spin magnetization at 1.3 μB per cell. The value obtained for the uncorrected formation energy is -386 meV/atom. As for the crystal system: tetragonal. The calculation puts the energy at -3.395 eV/atom.


Record 10
Material: Ce5PaAs6
Method: DFT, PBE
State: relaxed

Cell: 7.268 7.268 7.267 Å, 99.60 99.60 119.98°
Atoms (fractional coordinates):
Ce1 0.000 0.000 0.000
Ce2 0.166 0.834 0.500
Ce3 0.331 0.669 0.000
Ce4 0.669 0.331 0.000
Ce5 0.834 0.166 0.500
Pa1 0.500 0.500 0.500
As1 0.092 0.418 0.255
As2 0.256 0.256 0.747
As3 0.418 0.092 0.255
As4 0.582 0.908 0.745
As5 0.744 0.744 0.253
As6 0.908 0.582 0.745

Properties
The formation energy comes out at -1.36 eV/atom. The calculation puts the spin magnetization at 4.2 μB per cell. As for the crystal system: monoclinic. The calculation puts the energy at -6.953 eV/atom.


Record 11
Material: Tb12GePd6
Method: DFT, PBE
State: relaxed

Cell: 8.338 8.338 8.338 Å, 100.03 100.03 100.03°
Atoms (fractional coordinates):
Tb1 0.059 0.917 0.675
Tb2 0.083 0.325 0.941
Tb3 0.178 0.575 0.414
Tb4 0.325 0.941 0.083
Tb5 0.414 0.178 0.575
Tb6 0.425 0.586 0.822
Tb7 0.575 0.414 0.178
Tb8 0.586 0.822 0.425
Tb9 0.675 0.059 0.917
Tb10 0.822 0.425 0.586
Tb11 0.917 0.675 0.059
Tb12 0.941 0.083 0.325
Ge1 0.000 0.000 0.000
Pd1 0.136 0.319 0.615
Pd2 0.319 0.615 0.136
Pd3 0.385 0.864 0.681
Pd4 0.615 0.136 0.319
Pd5 0.681 0.385 0.864
Pd6 0.864 0.681 0.385

Properties
The formation energy comes out at -0.51 eV/atom. The calculation puts the spin magnetization at 0.0 μB per cell. As for the crystal system: trigonal. The calculation puts the energy at -5.315 eV/atom.


Record 12
Material: PrErGaSi
Method: DFT, PBE
State: relaxed

Cell: 4.006 5.911 5.911 Å, 43.44 90.00 90.00°
Atoms (fractional coordinates):
Pr1 0.000 0.000 0.000
Er1 0.500 0.281 0.281
Ga1 0.500 0.573 0.573
Si1 0.000 0.719 0.719

Properties
The calculation puts the spin magnetization at 0.1 μB per cell. The value obtained for the uncorrected formation energy is -698 meV/atom. As for the crystal system: orthorhombic. The calculation puts the energy at -5.146 eV/atom.